Record 1
Tl6In3Hg | PBE-GGA | optimized geometry

The formation energy comes out at 22 meV/atom. As for the crystal system: monoclinic. The value obtained for the total magnetic moment is 0.0 μB per formula unit.

CIF file:
```
data_Tl6In3Hg
_symmetry_space_group_name_H-M 'P 1 21/m 1'
_symmetry_Int_Tables_number 11
_cell_length_a 12.952
_cell_length_b 3.331
_cell_length_c 14.791
_cell_angle_alpha 90.00
_cell_angle_beta 111.90
_cell_angle_gamma 90.00
loop_
_symmetry_equiv_pos_as_xyz
'x,y,z'
'-x,-y,-z'
'-x,y+1/2,-z'
'x,-y+1/2,z'
loop_
_atom_site_label
_atom_site_fract_x
_atom_site_fract_y
_atom_site_fract_z
Tl1 0.036 0.250 0.408
Tl2 0.141 0.750 0.999
Tl3 0.170 0.250 0.789
Tl4 0.267 0.750 0.392
Tl5 0.329 0.250 0.211
Tl6 0.434 0.250 0.798
In1 0.233 0.750 0.605
In2 0.383 0.250 0.001
In3 0.463 0.250 0.586
Hg1 0.067 0.750 0.184
```

Record 2
Mn2NbRe2 | PBE-GGA | optimized geometry

The formation energy comes out at 161 meV/atom. As for the crystal system: tetragonal. The value obtained for the total magnetic moment is 0.0 μB per formula unit.

CIF file:
```
data_Mn2NbRe2
_symmetry_space_group_name_H-M 'P 4/m b m'
_symmetry_Int_Tables_number 127
_symmetry_space_group_name_Hall '-P 4 2ab'
_cell_length_a 7.339
_cell_length_b 7.339
_cell_length_c 2.670
_cell_angle_alpha 90.00
_cell_angle_beta 90.00
_cell_angle_gamma 90.00
loop_
_atom_site_label
_atom_site_fract_x
_atom_site_fract_y
_atom_site_fract_z
Mn1 0.171 0.329 0.000
Nb1 0.000 0.000 0.500
Re1 0.128 0.628 0.500
```

Record 3
LiZr2RhO | PBE-GGA | optimized geometry

The value obtained for the calculated total energy is -0.28068 hartree per atom. As for the crystal system: tetragonal. The value obtained for the total magnetic moment is 0.0 μB per formula unit.

CIF file:
```
data_LiZr2RhO
_symmetry_space_group_name_H-M 'P 4/m m m'
_symmetry_Int_Tables_number 123
_symmetry_space_group_name_Hall '-P 4 2'
_cell_length_a 4.489
_cell_length_b 4.489
_cell_length_c 3.682
_cell_angle_alpha 90.00
_cell_angle_beta 90.00
_cell_angle_gamma 90.00
loop_
_atom_site_label
_atom_site_fract_x
_atom_site_fract_y
_atom_site_fract_z
Li1 0.000 0.000 0.000
Zr1 0.000 0.500 0.500
Rh1 0.500 0.500 0.000
O1 0.000 0.000 0.500
```

Record 4
PmGdSc2 | PBE-GGA | optimized geometry

The formation energy comes out at 73 meV/atom. As for the crystal system: cubic. The value obtained for the total magnetic moment is 7.2 μB per formula unit.

CIF file:
```
data_PmGdSc2
_symmetry_space_group_name_H-M 'F m -3 m'
_symmetry_Int_Tables_number 225
_symmetry_space_group_name_Hall '-F 4 2 3'
_cell_length_a 7.712
_cell_length_b 7.712
_cell_length_c 7.712
_cell_angle_alpha 90.00
_cell_angle_beta 90.00
_cell_angle_gamma 90.00
loop_
_atom_site_label
_atom_site_fract_x
_atom_site_fract_y
_atom_site_fract_z
Pm1 0.000 0.000 0.000
Gd1 0.000 0.000 0.500
Sc1 0.250 0.250 0.250
```

Record 5
CeHo3P4 | PBE-GGA | optimized geometry

The formation energy comes out at -1584 meV/atom. As for the crystal system: tetragonal. The value obtained for the total magnetic moment is 0.4 μB per formula unit.

CIF file:
```
data_CeHo3P4
_symmetry_space_group_name_H-M 'I 4/m m m'
_symmetry_Int_Tables_number 139
_symmetry_space_group_name_Hall '-I 4 2'
_cell_length_a 5.674
_cell_length_b 5.674
_cell_length_c 11.332
_cell_angle_alpha 90.00
_cell_angle_beta 90.00
_cell_angle_gamma 90.00
loop_
_atom_site_label
_atom_site_fract_x
_atom_site_fract_y
_atom_site_fract_z
Ce1 0.000 0.000 0.000
Ho1 0.000 0.000 0.500
Ho2 0.000 0.500 0.250
P1 0.000 0.000 0.250
P2 0.000 0.500 0.000
```

Record 6
Na2NdNp3Se6 | PBE-GGA | optimized geometry

The value obtained for the calculated total energy is -0.25305 hartree per atom. As for the crystal system: monoclinic. The value obtained for the total magnetic moment is 13.8 μB per formula unit.

CIF file:
```
data_Na2NdNp3Se6
_symmetry_space_group_name_H-M 'C 1 2/m 1'
_symmetry_Int_Tables_number 12
_cell_length_a 7.228
_cell_length_b 12.514
_cell_length_c 7.302
_cell_angle_alpha 90.00
_cell_angle_beta 109.20
_cell_angle_gamma 90.00
loop_
_symmetry_equiv_pos_as_xyz
'x,y,z'
'-x,-y,-z'
'-x,y,-z'
'x,-y,z'
'x+1/2,y+1/2,z'
'-x+1/2,-y+1/2,-z'
'-x+1/2,y+1/2,-z'
'x+1/2,-y+1/2,z'
loop_
_atom_site_label
_atom_site_fract_x
_atom_site_fract_y
_atom_site_fract_z
Na1 0.000 0.166 0.000
Nd1 0.000 0.500 0.000
Np1 0.000 0.000 0.500
Np2 0.000 0.332 0.500
Se1 0.245 0.500 0.740
Se2 0.248 0.166 0.741
```

Record 7
CaAcCe | PBE-GGA | optimized geometry

The formation energy comes out at 158 meV/atom. As for the crystal system: tetragonal. The value obtained for the total magnetic moment is 1.3 μB per formula unit.

CIF file:
```
data_CaAcCe
_symmetry_space_group_name_H-M 'I 4 m m'
_symmetry_Int_Tables_number 107
_symmetry_space_group_name_Hall 'I 4 -2'
_cell_length_a 3.797
_cell_length_b 3.797
_cell_length_c 16.244
_cell_angle_alpha 90.00
_cell_angle_beta 90.00
_cell_angle_gamma 90.00
loop_
_atom_site_label
_atom_site_fract_x
_atom_site_fract_y
_atom_site_fract_z
Ca1 0.000 0.000 0.000
Ac1 0.000 0.000 0.681
Ce1 0.000 0.000 0.336
```

Record 8
Pu6As5Se | PBE-GGA | optimized geometry

The value obtained for the calculated total energy is -0.38643 hartree per atom. As for the crystal system: monoclinic. The value obtained for the total magnetic moment is 30.9 μB per formula unit.

CIF file:
```
data_Pu6As5Se
_symmetry_space_group_name_H-M 'C 1 2/m 1'
_symmetry_Int_Tables_number 12
_cell_length_a 7.182
_cell_length_b 12.440
_cell_length_c 7.181
_cell_angle_alpha 90.00
_cell_angle_beta 109.47
_cell_angle_gamma 90.00
loop_
_symmetry_equiv_pos_as_xyz
'x,y,z'
'-x,-y,-z'
'-x,y,-z'
'x,-y,z'
'x+1/2,y+1/2,z'
'-x+1/2,-y+1/2,-z'
'-x+1/2,y+1/2,-z'
'x+1/2,-y+1/2,z'
loop_
_atom_site_label
_atom_site_fract_x
_atom_site_fract_y
_atom_site_fract_z
Pu1 0.248 0.000 0.251
Pu2 0.248 0.168 0.748
As1 0.000 0.000 0.500
As2 0.000 0.167 0.000
As3 0.000 0.335 0.500
Se1 0.000 0.500 0.000
```

Record 9
Nd5Ho2Tm4 | PBE-GGA | optimized geometry

The formation energy comes out at 77 meV/atom. As for the crystal system: monoclinic. The value obtained for the total magnetic moment is 0.0 μB per formula unit.

CIF file:
```
data_Nd5Ho2Tm4
_symmetry_space_group_name_H-M 'C 1 2/m 1'
_symmetry_Int_Tables_number 12
_cell_length_a 17.591
_cell_length_b 3.541
_cell_length_c 11.594
_cell_angle_alpha 90.00
_cell_angle_beta 93.98
_cell_angle_gamma 90.00
loop_
_symmetry_equiv_pos_as_xyz
'x,y,z'
'-x,-y,-z'
'-x,y,-z'
'x,-y,z'
'x+1/2,y+1/2,z'
'-x+1/2,-y+1/2,-z'
'-x+1/2,y+1/2,-z'
'x+1/2,-y+1/2,z'
loop_
_atom_site_label
_atom_site_fract_x
_atom_site_fract_y
_atom_site_fract_z
Nd1 0.000 0.000 0.000
Nd2 0.097 0.500 0.535
Nd3 0.176 0.500 0.070
Ho1 0.216 0.000 0.351
Tm1 0.035 0.500 0.260
Tm2 0.140 0.000 0.795
```

Record 10
CdBiHIr2 | PBE-GGA | optimized geometry

The value obtained for the calculated total energy is -0.14912 hartree per atom. As for the crystal system: tetragonal. The value obtained for the total magnetic moment is 0.0 μB per formula unit.

CIF file:
```
data_CdBiHIr2
_symmetry_space_group_name_H-M 'P 4/m m m'
_symmetry_Int_Tables_number 123
_symmetry_space_group_name_Hall '-P 4 2'
_cell_length_a 5.171
_cell_length_b 5.171
_cell_length_c 3.572
_cell_angle_alpha 90.00
_cell_angle_beta 90.00
_cell_angle_gamma 90.00
loop_
_atom_site_label
_atom_site_fract_x
_atom_site_fract_y
_atom_site_fract_z
Cd1 0.000 0.000 0.000
Bi1 0.500 0.500 0.500
H1 0.500 0.500 0.000
Ir1 0.000 0.500 0.500
```

Record 11
PuPa8Ir2 | PBE-GGA | optimized geometry

The formation energy comes out at -174 meV/atom. As for the crystal system: monoclinic. The value obtained for the total magnetic moment is 0.0 μB per formula unit.

CIF file:
```
data_PuPa8Ir2
_symmetry_space_group_name_H-M 'C 1 2/m 1'
_symmetry_Int_Tables_number 12
_cell_length_a 12.959
_cell_length_b 7.048
_cell_length_c 5.960
_cell_angle_alpha 90.00
_cell_angle_beta 100.11
_cell_angle_gamma 90.00
loop_
_symmetry_equiv_pos_as_xyz
'x,y,z'
'-x,-y,-z'
'-x,y,-z'
'x,-y,z'
'x+1/2,y+1/2,z'
'-x+1/2,-y+1/2,-z'
'-x+1/2,y+1/2,-z'
'x+1/2,-y+1/2,z'
loop_
_atom_site_label
_atom_site_fract_x
_atom_site_fract_y
_atom_site_fract_z
Pu1 0.000 0.000 0.000
Pa1 0.087 0.500 0.829
Pa2 0.093 0.239 0.288
Pa3 0.164 0.000 0.834
Ir1 0.229 0.500 0.543
```

Record 12
TbZnO3 | PBE-GGA | optimized geometry

The value obtained for the calculated total energy is -0.22334 hartree per atom. As for the crystal system: cubic. The value obtained for the total magnetic moment is 0.0 μB per formula unit.

CIF file:
```
data_TbZnO3
_symmetry_space_group_name_H-M 'P m -3 m'
_symmetry_Int_Tables_number 221
_symmetry_space_group_name_Hall '-P 4 2 3'
_cell_length_a 3.847
_cell_length_b 3.847
_cell_length_c 3.847
_cell_angle_alpha 90.00
_cell_angle_beta 90.00
_cell_angle_gamma 90.00
loop_
_atom_site_label
_atom_site_fract_x
_atom_site_fract_y
_atom_site_fract_z
Tb1 0.000 0.000 0.000
Zn1 0.500 0.500 0.500
O1 0.000 0.500 0.500
```